1.
# NdTlPd

A relaxed structure of NdTlPd (PBE-GGA, OQMD via LeMat-Bulk).

Values from the calculation:
Its raw total energy is -4.560 eV per atom. As for the size of the total moment: 0.0 μB per formula unit. The symmetry is P-62m. The calculation puts the offset from the most stable computed form at 180 meV/atom.

abc: 7.4463 7.4463 4.5665
angles: 90.00 90.00 120.00
Closest atoms and distances in Å follow each position.
Fractional coordinates of all 9 atoms:
Nd1 0.0000 0.5697 0.0000  5 Tl 3.18-3.20, 2 Pd 3.37
Nd2 0.5697 0.0000 0.0000  5 Tl 3.18-3.20, 2 Pd 3.37
Nd3 0.4303 0.4303 0.0000  5 Tl 3.18-3.20, 2 Pd 3.37
Pd1 0.7624 0.7624 0.5000  4 Tl 2.89-2.90, 2 Pd 3.06
Pd2 0.0000 0.2376 0.5000  4 Tl 2.89-2.90, 2 Pd 3.06
Pd3 0.2376 0.0000 0.5000  4 Tl 2.89-2.90, 2 Pd 3.06
Tl1 0.6667 0.3333 0.5000  3 Pd 2.90, 6 Nd 3.18
Tl2 0.0000 0.0000 0.0000  6 Pd 2.89, 3 Nd 3.20
Tl3 0.3333 0.6667 0.5000  3 Pd 2.90, 6 Nd 3.18

***

2.
# NdTlPd

A relaxed structure of NdTlPd (PBE-GGA, OQMD via LeMat-Bulk).

Values from the calculation:
Its raw total energy is -4.381 eV per atom. As for the size of the total moment: 0.0 μB per formula unit. The symmetry is P6_3/mmc. The calculation puts the offset from the most stable computed form at 359 meV/atom.

abc: 5.1897 5.1897 6.3089
angles: 90.00 90.00 120.00
Closest atoms and distances in Å follow each position.
Fractional coordinates of all 6 atoms:
Tl1 0.6667 0.3333 0.7500  5 Nd 3.00-3.15
Tl2 0.3333 0.6667 0.2500  5 Nd 3.00-3.15
Pd1 0.0000 0.0000 0.5000  2 Pd 3.15, 6 Tl 3.39, 6 Nd 3.39
Pd2 0.0000 0.0000 0.0000  2 Pd 3.15, 6 Nd 3.39, 6 Tl 3.39
Nd1 0.3333 0.6667 0.7500  5 Tl 3.00-3.15
Nd2 0.6667 0.3333 0.2500  5 Tl 3.00-3.15

***

3.
# NdTlPd

A relaxed structure of NdTlPd (PBE-GGA, OQMD via LeMat-Bulk).

Values from the calculation:
Its raw total energy is -4.349 eV per atom. As for the size of the total moment: 0.0 μB per formula unit. The symmetry is P-62m. The calculation puts the offset from the most stable computed form at 390 meV/atom.

abc: 8.4436 8.4436 3.4999
angles: 90.00 90.00 120.00
Closest atoms and distances in Å follow each position.
Fractional coordinates of all 9 atoms:
Tl1 0.3333 0.6667 0.0000  3 Nd 2.98, 6 Pd 3.22
Tl2 0.6667 0.3333 0.0000  3 Nd 2.98, 6 Pd 3.22
Tl3 0.0000 0.0000 0.5000  3 Pd 3.05, 6 Nd 3.06
Nd1 0.0000 0.2967 0.0000  4 Tl 2.98-3.06, 4 Pd 3.32
Nd2 0.7033 0.7033 0.0000  4 Tl 2.98-3.06, 4 Pd 3.32
Nd3 0.2967 0.0000 0.0000  4 Tl 2.98-3.06, 4 Pd 3.32
Pd1 0.6384 0.0000 0.5000  5 Tl 3.05-3.22, 6 Nd 3.32-3.37
Pd2 0.3616 0.3616 0.5000  5 Tl 3.05-3.22, 6 Nd 3.32-3.37
Pd3 0.0000 0.6384 0.5000  5 Tl 3.05-3.22, 6 Nd 3.32-3.37

***

Number 2 is which compound?
NdTlPd